The following is a PBE calculation of an optimized crystal structure of CsTiB, from Alexandria.

a b c (Å): 11.917 3.856 8.722
angles (deg): 90.00 90.00 90.00
Fractional positions:
Cs 0.191 0.250 0.010
Cs 0.309 0.750 0.510
Cs 0.691 0.250 0.490
Cs 0.809 0.750 0.990
Ti 0.008 0.250 0.618
Ti 0.492 0.750 0.118
Ti 0.508 0.250 0.882
Ti 0.992 0.750 0.382
B 0.077 0.250 0.395
B 0.423 0.750 0.895
B 0.577 0.250 0.105
B 0.923 0.750 0.605

ΔE_f: 0.724 eV per atom
N(E_F): 1.84 states/eV/f.u.
raw total energy: -4.42 eV/atom
excess energy over the best structure of this formula in the dataset: 339 meV/atom